(1)
A plane-wave DFT calculation with PBE was carried out for an optimized crystal structure of Rb2GaFeBr6.

Cell lengths 7.664, 7.664, 10.827 Å; angles 90.00, 90.00, 90.00 degrees
Space group I4/mmm (No. 139)
One atom of each set of equivalent atoms:
Rb: 0.000 0.500 0.250 x4
Ga: 0.000 0.000 0.000 x2
Fe: 0.000 0.000 0.500 x2
Br: 0.000 0.000 0.261 x4
Br: 0.239 0.239 0.500 x8

Values from the calculation:
**Total DFT energy (no corrections)**: -3.357 eV per atom
**ΔE_f (raw)**: -1011 meV per atom

(2)
A plane-wave DFT calculation with PBE was carried out for an optimized crystal structure of Mg5Si6.

Cell lengths 4.078, 8.401, 12.690 Å; angles 73.83, 80.76, 88.31 degrees
Space group P1 (No. 1)
One atom of each set of equivalent atoms:
Mg: 0.000 0.000 0.000 x1
Mg: 0.007 0.594 0.978 x1
Mg: 0.121 0.888 0.740 x1
Mg: 0.149 0.567 0.681 x1
Mg: 0.179 0.254 0.600 x1
Mg: 0.269 0.040 0.406 x1
Mg: 0.291 0.622 0.395 x1
Mg: 0.508 0.309 0.966 x1
Mg: 0.763 0.318 0.408 x1
Mg: 0.886 0.249 0.174 x1
Si: 0.084 0.262 0.818 x1
Si: 0.325 0.387 0.264 x1
Si: 0.424 0.015 0.163 x1
Si: 0.472 0.762 0.105 x1
Si: 0.536 0.841 0.907 x1
Si: 0.585 0.628 0.816 x1
Si: 0.607 0.121 0.791 x1
Si: 0.691 0.017 0.582 x1
Si: 0.711 0.507 0.550 x1
Si: 0.739 0.804 0.481 x1
Si: 0.874 0.886 0.279 x1
Si: 0.942 0.628 0.207 x1

Values from the calculation:
**Total DFT energy (no corrections)**: -3.585 eV per atom
**Relative energy among the computed polymorphs**: 0.80 eV per formula unit
**ΔE_f (raw)**: 98 meV per atom

(3)
A plane-wave DFT calculation with PBE was carried out for an optimized crystal structure of Na3InSb2.

Cell lengths 10.469, 8.024, 16.786 Å; angles 90.00, 92.85, 90.00 degrees
Space group P2_1/c (No. 14)
One atom of each set of equivalent atoms:
Na: 0.059 0.011 0.393 x4
Na: 0.116 0.152 0.047 x4
Na: 0.178 0.514 0.362 x4
Na: 0.311 0.030 0.647 x4
Na: 0.370 0.153 0.298 x4
Na: 0.430 0.534 0.608 x4
In: 0.141 0.647 0.707 x4
In: 0.375 0.637 0.957 x4
Sb: 0.092 0.220 0.227 x4
Sb: 0.150 0.739 0.537 x4
Sb: 0.372 0.229 0.479 x4
Sb: 0.381 0.742 0.790 x4

Values from the calculation:
**Total DFT energy (no corrections)**: -2.872 eV per atom
**Relative energy among the computed polymorphs**: 0.00 eV per formula unit
**ΔE_f (raw)**: -382 meV per atom

(4)
A plane-wave DFT calculation with PBE was carried out for an optimized crystal structure of Zr5TiOs6.

Cell lengths 4.612, 13.832, 6.497 Å; angles 90.00, 90.00, 90.00 degrees
Space group Cmmm (No. 65)
One atom of each set of equivalent atoms:
Zr: 0.000 0.000 0.000 x2
Zr: 0.000 0.334 0.000 x4
Zr: 0.000 0.335 0.500 x4
Ti: 0.000 0.000 0.500 x2
Os: 0.000 0.164 0.254 x8
Os: 0.000 0.500 0.256 x4

Values from the calculation:
**Total DFT energy (no corrections)**: -10.363 eV per atom